(1)
Below is crystalline YNi3 at its relaxed geometry, with properties calculated at the PBE level.

**ΔE_f**: -0.1720 eV/atom
**Magnetization**: 0.00 μB/f.u.

Cell lengths 3.8979, 3.8979, 15.2761 Å; angles 90.00, 90.00, 90.00 degrees
Positions (direct):
Y 0.0000 0.0000 0.1248
Y 0.0000 0.0000 0.8752
Y 0.5000 0.5000 0.3752
Y 0.5000 0.5000 0.6248
Ni 0.0000 0.0000 0.3725
Ni 0.0000 0.0000 0.6275
Ni 0.0000 0.5000 0.0000
Ni 0.0000 0.5000 0.2500
Ni 0.0000 0.5000 0.5000
Ni 0.0000 0.5000 0.7500
Ni 0.5000 0.0000 0.0000
Ni 0.5000 0.0000 0.2500
Ni 0.5000 0.0000 0.5000
Ni 0.5000 0.0000 0.7500
Ni 0.5000 0.5000 0.1275
Ni 0.5000 0.5000 0.8725


(2)
Below is crystalline FeAsRh2 at its relaxed geometry, with properties calculated at the PBE level.

**ΔE_f**: -0.0232 eV/atom
**Magnetization**: 3.32 μB/f.u.

Cell lengths 2.9370, 2.9370, 6.4931 Å; angles 90.00, 90.00, 90.00 degrees
Positions (direct):
Fe 0.0000 0.0000 0.0000
As 0.5000 0.5000 0.7671
Rh 0.0000 0.0000 0.5364
Rh 0.5000 0.5000 0.2404